## Ti2VRe2 (PBE)

Data for crystalline Ti2VRe2 at its relaxed geometry. Values from VASP.

Properties
ΔE_f = 0.1083 eV/atom
Fermi-level density of states = 7.02 states/eV/f.u.
M_tot = 0.0 μB/f.u.
uncorrected energy = -98.5 eV/cell

```
&SYSTEM
  ibrav = 0, nat = 10, ntyp = 3
/
ATOMIC_SPECIES
Ti 47.87 Ti.upf
V 50.94 V.upf
Re 186.21 Re.upf
CELL_PARAMETERS angstrom
-1.664 6.063 -0.681
-1.461 0.290 6.146
3.883 1.163 0.868
ATOMIC_POSITIONS crystal
Ti 0.676 0.824 0.500
Ti 0.324 0.176 0.500
Ti 0.176 0.676 0.500
Ti 0.824 0.324 0.500
V 0.500 0.500 0.000
V 0.000 0.000 0.000
Re 0.856 0.644 0.000
Re 0.356 0.856 0.000
Re 0.144 0.356 0.000
Re 0.644 0.144 0.000
```